VASP calculation (PBE with a Hubbard U) on Na2VRuO6 after structural relaxation.

a b c (Å): 3.8309 5.4044 5.4044
angles (deg): 90.00 90.00 90.00
Last column: nearest neighbours and their distance in Å.
Sites, in units of the cell vectors:
Na 0.1305 0.5000 0.0000  12 O 2.64-2.77
V 0.6100 0.0000 0.0000  5 O 1.75-1.88
O 0.1525 0.5000 0.5000  2 Ru 1.92
O 0.6542 0.7549 0.7549  1 V 1.88, 1 Ru 1.95
O 0.6542 0.2451 0.7549  1 V 1.88, 1 Ru 1.95
O 0.1539 0.0000 0.0000  1 V 1.75
O 0.6542 0.2451 0.2451  1 V 1.88, 1 Ru 1.95
Ru 0.6524 0.5000 0.5000  6 O 1.92-1.95
O 0.6542 0.7549 0.2451  1 V 1.88, 1 Ru 1.95
Na 0.1305 0.0000 0.5000  12 O 2.64-2.77

Values from the calculation:
calculated total energy = -6.406 eV/atom
magnetic moment = 0.003 μB per atom